Record 1
{"formula": "Cr2AsHI", "functional": "PBE", "state": "optimized geometry", "cell": [[4.918, 0.000, 0.000], [0.000, 4.918, 0.000], [0.000, 0.000, 6.112]], "species": ["Cr", "Cr", "As", "H", "I"], "frac_coords": [[0.000, 0.500, 0.000], [0.500, 0.000, 0.000], [0.000, 0.000, 0.000], [0.500, 0.500, 0.500], [0.000, 0.000, 0.500]], "total_magnetization_mub_per_cell": 10.0, "dos_ef_per_ev_cell": 3.0, "space_group": "No. 123", "final_energy_ev_per_atom": -4.70}

---

Record 2
{"formula": "Sr2TaRh", "functional": "PBE", "state": "optimized geometry", "cell": [[3.518, 0.000, 0.000], [0.000, 3.518, 0.000], [0.000, 0.000, 9.636]], "species": ["Sr", "Sr", "Ta", "Rh"], "frac_coords": [[0.000, 0.000, 0.000], [0.500, 0.500, 0.388], [0.000, 0.000, 0.659], [0.500, 0.500, 0.746]], "formation_enthalpy_0k_mev_per_atom": 104, "total_magnetization_mub_per_cell": 0.0, "dos_ef_per_ev_cell": 4.8, "space_group": "No. 99", "final_energy_ev_per_atom": -5.54}